# PBE-GGA Pa2Co2Ni, optimized geometry
data_Pa2Co2Ni
_cell_length_a 6.9906
_cell_length_b 6.9906
_cell_length_c 6.9535
_cell_angle_alpha 90.00
_cell_angle_beta 90.00
_cell_angle_gamma 90.00
_space_group_name_H-M_alt 'P 4/m n c'
_space_group_IT_number 128
_space_group_name_Hall '-P 4 2n'
loop_
_atom_site_label
_atom_site_type_symbol
_atom_site_fract_x
_atom_site_fract_y
_atom_site_fract_z
Pa1 Pa 0.1784 0.3217 0.0000
Co1 Co 0.1325 0.6325 0.2500
Ni1 Ni 0.0000 0.0000 0.2494
# ΔE_f	-0.38	eV/atom


This record from the Alexandria database describes a relaxed structure of PmHCl. The functional is PBE-GGA.

Cell and atoms, written as CIF:
```
data_PmHCl
_cell_length_a 3.3102
_cell_length_b 3.3703
_cell_length_c 10.1456
_cell_angle_alpha 90.00
_cell_angle_beta 90.00
_cell_angle_gamma 90.00
_space_group_name_H-M_alt 'A m m 2'
_space_group_IT_number 38
_space_group_name_Hall 'A 2 -2'
loop_
_atom_site_label
_atom_site_type_symbol
_atom_site_fract_x
_atom_site_fract_y
_atom_site_fract_z
Pm1 Pm 0.0000 0.0000 0.0000
H1 H 0.5000 0.0000 0.4243
Cl1 Cl 0.5000 0.0000 0.6824
```


# PBE-GGA Pm2SmDy5Y, optimized geometry
data_Pm2SmDy5Y
_cell_length_a 8.7052
_cell_length_b 8.7052
_cell_length_c 15.5704
_cell_angle_alpha 90.00
_cell_angle_beta 90.00
_cell_angle_gamma 90.00
_space_group_name_H-M_alt 'I 4/m c m'
_space_group_IT_number 140
_space_group_name_Hall '-I 4 2c'
loop_
_atom_site_label
_atom_site_type_symbol
_atom_site_fract_x
_atom_site_fract_y
_atom_site_fract_z
Pm1 Pm 0.1168 0.3832 0.0000
Sm1 Sm 0.0000 0.0000 0.2500
Dy1 Dy 0.0000 0.0000 0.0000
Dy2 Dy 0.2110 0.2890 0.3620
Y1 Y 0.0000 0.5000 0.2500
# ΔE_f	0.27	eV/atom


# PBE-GGA InCu2Os, optimized geometry
data_InCu2Os
_cell_length_a 4.0986
_cell_length_b 4.0986
_cell_length_c 7.0108
_cell_angle_alpha 90.00
_cell_angle_beta 90.00
_cell_angle_gamma 90.00
_space_group_name_H-M_alt 'I 4/m m m'
_space_group_IT_number 139
_space_group_name_Hall '-I 4 2'
loop_
_atom_site_label
_atom_site_type_symbol
_atom_site_fract_x
_atom_site_fract_y
_atom_site_fract_z
In1 In 0.0000 0.0000 0.0000
Cu1 Cu 0.0000 0.5000 0.2500
Os1 Os 0.0000 0.0000 0.5000
# ΔE_f	0.42	eV/atom


# PBE-GGA Pm8GaP3I4, optimized geometry
data_Pm8GaP3I4
_cell_length_a 8.4590
_cell_length_b 8.4590
_cell_length_c 22.9584
_cell_angle_alpha 90.00
_cell_angle_beta 90.00
_cell_angle_gamma 120.00
_space_group_name_H-M_alt 'R -3 m'
_space_group_IT_number 166
_space_group_name_Hall '-R 3 2"'
loop_
_atom_site_label
_atom_site_type_symbol
_atom_site_fract_x
_atom_site_fract_y
_atom_site_fract_z
Pm1 Pm 0.0000 0.0000 0.2292
Pm2 Pm 0.0055 0.5028 0.7690
Ga1 Ga 0.0000 0.0000 0.5000
P1 P 0.0000 0.5000 0.5000
I1 I 0.0000 0.0000 0.0000
I2 I 0.0000 0.5000 0.0000
# energy relative to the elements, uncorrected	-19.47	eV/f.u.


# PBE-GGA RbPm2AuO4, optimized geometry
data_RbPm2AuO4
_cell_length_a 3.7627
_cell_length_b 13.1202
_cell_length_c 11.9826
_cell_angle_alpha 90.00
_cell_angle_beta 90.00
_cell_angle_gamma 90.00
_space_group_name_H-M_alt 'C m c m'
_space_group_IT_number 63
_space_group_name_Hall '-C 2c 2'
loop_
_atom_site_label
_atom_site_type_symbol
_atom_site_fract_x
_atom_site_fract_y
_atom_site_fract_z
Rb1 Rb 0.0000 0.0650 0.2500
Pm1 Pm 0.0000 0.3716 0.0662
Au1 Au 0.0000 0.2387 0.7500
O1 O 0.0000 0.0000 0.0000
O2 O 0.0000 0.2366 0.5804
O3 O 0.0000 0.4203 0.2500
# energy relative to the elements, uncorrected	-17.75	eV/f.u.


# PBE-GGA LaTl2Au, optimized geometry
data_LaTl2Au
_cell_length_a 4.5053
_cell_length_b 4.5053
_cell_length_c 23.2237
_cell_angle_alpha 90.00
_cell_angle_beta 90.00
_cell_angle_gamma 90.00
_space_group_name_H-M_alt 'I -4 2 d'
_space_group_IT_number 122
_space_group_name_Hall 'I -4 2bw'
loop_
_atom_site_label
_atom_site_type_symbol
_atom_site_fract_x
_atom_site_fract_y
_atom_site_fract_z
La1 La 0.0000 0.0000 0.0000
Tl1 Tl 0.2318 0.2500 0.6250
Au1 Au 0.0000 0.0000 0.5000
# ΔE_f	-0.27	eV/atom


# PBE-GGA Pa2ReSi3, optimized geometry
data_Pa2ReSi3
_cell_length_a 7.8116
_cell_length_b 8.2867
_cell_length_c 14.1515
_cell_angle_alpha 90.00
_cell_angle_beta 90.00
_cell_angle_gamma 90.00
_space_group_name_H-M_alt 'F m m m'
_space_group_IT_number 69
_space_group_name_Hall '-F 2 2'
loop_
_atom_site_label
_atom_site_type_symbol
_atom_site_fract_x
_atom_site_fract_y
_atom_site_fract_z
Pa1 Pa 0.2395 0.0000 0.0000
Pa2 Pa 0.2500 0.2500 0.2500
Re1 Re 0.0000 0.0000 0.1650
Si1 Si 0.0000 0.0000 0.3357
Si2 Si 0.0000 0.2429 0.4174
# energy relative to the elements, uncorrected	-3.21	eV/f.u.


# PBE-GGA Nd2SmZn2, optimized geometry
data_Nd2SmZn2
_cell_length_a 3.7174
_cell_length_b 5.2698
_cell_length_c 13.7892
_cell_angle_alpha 90.00
_cell_angle_beta 97.78
_cell_angle_gamma 90.00
_space_group_name_H-M_alt 'P 1 21/m 1'
_space_group_IT_number 11
_space_group_name_Hall '-P 2yb'
loop_
_atom_site_label
_atom_site_type_symbol
_atom_site_fract_x
_atom_site_fract_y
_atom_site_fract_z
Nd1 Nd 0.0462 0.2500 0.0913
Nd2 Nd 0.2313 0.2500 0.4634
Sm1 Sm 0.1434 0.7500 0.2836
Zn1 Zn 0.3600 0.7500 0.7222
Zn2 Zn 0.4493 0.2500 0.8995
# ΔE_f	-0.24	eV/atom


# PBE-GGA CoSnMo, optimized geometry
data_CoSnMo
_cell_length_a 12.3787
_cell_length_b 2.9691
_cell_length_c 5.2669
_cell_angle_alpha 90.00
_cell_angle_beta 90.00
_cell_angle_gamma 90.00
_space_group_name_H-M_alt 'A m m 2'
_space_group_IT_number 38
_space_group_name_Hall 'A 2 -2'
loop_
_atom_site_label
_atom_site_type_symbol
_atom_site_fract_x
_atom_site_fract_y
_atom_site_fract_z
Co1 Co 0.0000 0.0000 0.0000
Co2 Co 0.5000 0.0000 0.3154
Sn1 Sn 0.3409 0.0000 0.9848
Mo1 Mo 0.1525 0.0000 0.3173
# ΔE_f	0.37	eV/atom


# PBE-GGA TlCrSb2Te, optimized geometry
data_TlCrSb2Te
_cell_length_a 5.5989
_cell_length_b 5.5989
_cell_length_c 5.7163
_cell_angle_alpha 90.00
_cell_angle_beta 90.00
_cell_angle_gamma 90.00
_space_group_name_H-M_alt 'P 4/m m m'
_space_group_IT_number 123
_space_group_name_Hall '-P 4 2'
loop_
_atom_site_label
_atom_site_type_symbol
_atom_site_fract_x
_atom_site_fract_y
_atom_site_fract_z
Tl1 Tl 0.0000 0.0000 0.0000
Cr1 Cr 0.5000 0.5000 0.5000
Sb1 Sb 0.0000 0.5000 0.0000
Te1 Te 0.0000 0.0000 0.5000
# energy relative to the elements, uncorrected	8.56	eV/f.u.


# PBE-GGA CaYZr2, optimized geometry
data_CaYZr2
_cell_length_a 4.7033
_cell_length_b 4.7033
_cell_length_c 9.9230
_cell_angle_alpha 90.00
_cell_angle_beta 90.00
_cell_angle_gamma 90.00
_space_group_name_H-M_alt 'I 4/m m m'
_space_group_IT_number 139
_space_group_name_Hall '-I 4 2'
loop_
_atom_site_label
_atom_site_type_symbol
_atom_site_fract_x
_atom_site_fract_y
_atom_site_fract_z
Ca1 Ca 0.0000 0.0000 0.0000
Y1 Y 0.0000 0.0000 0.5000
Zr1 Zr 0.0000 0.5000 0.2500
# ΔE_f	0.31	eV/atom


# PBE-GGA Tm6Bi3Ir, optimized geometry
data_Tm6Bi3Ir
_cell_length_a 6.3962
_cell_length_b 8.4071
_cell_length_c 12.4979
_cell_angle_alpha 90.00
_cell_angle_beta 119.38
_cell_angle_gamma 90.00
_space_group_name_H-M_alt 'P 1 21/c 1'
_space_group_IT_number 14
_space_group_name_Hall '-P 2ybc'
loop_
_atom_site_label
_atom_site_type_symbol
_atom_site_fract_x
_atom_site_fract_y
_atom_site_fract_z
Tm1 Tm 0.0549 0.2006 0.4391
Tm2 Tm 0.2986 0.6567 0.4356
Tm3 Tm 0.3664 0.0377 0.2276
Bi1 Bi 0.1539 0.1171 0.7376
Bi2 Bi 0.5000 0.0000 0.5000
Ir1 Ir 0.0000 0.0000 0.0000
# ΔE_f	-0.61	eV/atom


# PBE-GGA GaPPbCl2, optimized geometry
data_GaPPbCl2
_cell_length_a 6.0713
_cell_length_b 6.0713
_cell_length_c 9.2754
_cell_angle_alpha 90.00
_cell_angle_beta 90.00
_cell_angle_gamma 90.00
_space_group_name_H-M_alt 'P 4/m m m'
_space_group_IT_number 123
_space_group_name_Hall '-P 4 2'
loop_
_atom_site_label
_atom_site_type_symbol
_atom_site_fract_x
_atom_site_fract_y
_atom_site_fract_z
Ga1 Ga 0.0000 0.0000 0.0000
P1 P 0.5000 0.5000 0.0000
Pb1 Pb 0.5000 0.5000 0.5000
Cl1 Cl 0.0000 0.5000 0.5000
# energy relative to the elements, uncorrected	2.50	eV/f.u.


# PBE-GGA PaNiBr2, optimized geometry
data_PaNiBr2
_cell_length_a 3.4966
_cell_length_b 3.4966
_cell_length_c 26.6646
_cell_angle_alpha 90.00
_cell_angle_beta 90.00
_cell_angle_gamma 120.00
_space_group_name_H-M_alt 'R -3 m'
_space_group_IT_number 166
_space_group_name_Hall '-R 3 2"'
loop_
_atom_site_label
_atom_site_type_symbol
_atom_site_fract_x
_atom_site_fract_y
_atom_site_fract_z
Pa1 Pa 0.0000 0.0000 0.0000
Ni1 Ni 0.0000 0.0000 0.5000
Br1 Br 0.0000 0.0000 0.4144
# energy relative to the elements, uncorrected	-1.05	eV/f.u.


# PBE-GGA La3PrSm3, optimized geometry
data_La3PrSm3
_cell_length_a 10.8774
_cell_length_b 10.8774
_cell_length_c 7.2985
_cell_angle_alpha 90.00
_cell_angle_beta 90.00
_cell_angle_gamma 120.00
_space_group_name_H-M_alt 'R 3 m'
_space_group_IT_number 160
_space_group_name_Hall 'R 3 -2"'
loop_
_atom_site_label
_atom_site_type_symbol
_atom_site_fract_x
_atom_site_fract_y
_atom_site_fract_z
La1 La 0.0427 0.5213 0.0000
Pr1 Pr 0.0000 0.0000 0.5119
Sm1 Sm 0.0919 0.5460 0.5388
# ΔE_f	0.20	eV/atom


# PBE-GGA TaMo2As2, optimized geometry
data_TaMo2As2
_cell_length_a 7.1395
_cell_length_b 7.1395
_cell_length_c 3.1579
_cell_angle_alpha 90.00
_cell_angle_beta 90.00
_cell_angle_gamma 90.00
_space_group_name_H-M_alt 'P 4/m b m'
_space_group_IT_number 127
_space_group_name_Hall '-P 4 2ab'
loop_
_atom_site_label
_atom_site_type_symbol
_atom_site_fract_x
_atom_site_fract_y
_atom_site_fract_z
Ta1 Ta 0.0000 0.0000 0.0000
Mo1 Mo 0.1435 0.3565 0.5000
As1 As 0.1534 0.6534 0.0000
# ΔE_f	0.00	eV/atom


# PBE-GGA Rb2ZnF5, optimized geometry
data_Rb2ZnF5
_cell_length_a 6.3362
_cell_length_b 6.3362
_cell_length_c 8.0459
_cell_angle_alpha 90.00
_cell_angle_beta 90.00
_cell_angle_gamma 90.00
_space_group_name_H-M_alt 'I 4 m m'
_space_group_IT_number 107
_space_group_name_Hall 'I 4 -2'
loop_
_atom_site_label
_atom_site_type_symbol
_atom_site_fract_x
_atom_site_fract_y
_atom_site_fract_z
Rb1 Rb 0.0000 0.5000 0.0000
Zn1 Zn 0.0000 0.0000 0.2745
F1 F 0.0000 0.0000 0.5159
F2 F 0.2104 0.2104 0.2335
# energy relative to the elements, uncorrected	-18.15	eV/f.u.


# PBE-GGA Cr2HgSb, optimized geometry
data_Cr2HgSb
_cell_length_a 8.3758
_cell_length_b 3.4106
_cell_length_c 5.8773
_cell_angle_alpha 90.00
_cell_angle_beta 103.35
_cell_angle_gamma 90.00
_space_group_name_H-M_alt 'C 1 2/m 1'
_space_group_IT_number 12
_space_group_name_Hall '-C 2y'
loop_
_atom_site_label
_atom_site_type_symbol
_atom_site_fract_x
_atom_site_fract_y
_atom_site_fract_z
Cr1 Cr 0.2446 0.0000 0.2421
Hg1 Hg 0.0000 0.0000 0.5000
Sb1 Sb 0.0000 0.5000 0.0000
# energy relative to the elements, uncorrected	2.03	eV/f.u.


# PBE-GGA LaTc3Rh, optimized geometry
data_LaTc3Rh
_cell_length_a 4.6646
_cell_length_b 4.6646
_cell_length_c 4.6646
_cell_angle_alpha 90.00
_cell_angle_beta 90.00
_cell_angle_gamma 90.00
_space_group_name_H-M_alt 'P m -3 m'
_space_group_IT_number 221
_space_group_name_Hall '-P 4 2 3'
loop_
_atom_site_label
_atom_site_type_symbol
_atom_site_fract_x
_atom_site_fract_y
_atom_site_fract_z
La1 La 0.0000 0.0000 0.0000
Tc1 Tc 0.0000 0.0000 0.5000
Rh1 Rh 0.5000 0.5000 0.5000
# ΔE_f	2.23	eV/atom


no.,raw total energy (eV for the cell shown),density of states at the Fermi level (states/eV/atom),total moment (μB per atom)
1,-163.5,0.8514,0.0000
2,-25.8,0.2553,0.0000
3,-165.1,1.2663,0.0000
4,-40.9,0.9652,0.0000
5,-248.8,0.4483,0.0000
6,-205.3,0.0000,0.0000
7,-56.0,0.8381,0.0000
8,-407.3,0.9983,0.0000
9,-36.0,1.1181,0.0000
10,-83.4,0.8114,0.0274
11,-14.8,1.8130,0.1088
12,-48.7,1.6233,0.0000
13,-106.8,0.5857,0.0000
14,-13.3,0.7802,0.3999
15,-59.0,1.3510,0.0339
16,-97.0,1.4723,0.0000
17,-85.6,0.8618,0.0000
18,-61.4,0.3589,0.1311
19,-43.3,0.7483,1.7946
20,-32.2,1.2609,0.0000